# 1
## Sc2RePb (PBE)

Data for a relaxed structure of Sc2RePb.

a b c (Å): 3.416 3.436 7.792
angles (deg): 63.93 90.00 90.00
Atoms (fractional coordinates):
Pb 0.500 0.250 0.250
Re 0.500 0.750 0.750
Sc 0.000 0.039 0.960
Sc 0.000 0.461 0.540

Summary:
Density of states at the Fermi level (states/eV/atom): 0.69
Formation enthalpy at 0 K (meV/atom): -217



# 2
## Sc2RePb (PBE)

Data for a relaxed structure of Sc2RePb.

a b c (Å): 9.772 9.772 9.772
angles (deg): 19.12 19.12 19.12
Last column: magnetic moment on the atom in μB.
Atoms (fractional coordinates):
Pb 0.492 0.492 0.492  0.00
Re 0.749 0.749 0.749  0.17
Sc 0.011 0.011 0.011  0.06
Sc 0.248 0.248 0.248  0.47

Summary:
Density of states at the Fermi level (states/eV/atom): 0.92
Formation enthalpy at 0 K (meV/atom): 360